Material: K5USe5
Method: DFT, PBE
State: relaxed

a = 15.1228 Å, b = 6.1374 Å, c = 8.9622 Å
α = 90.00°, β = 108.65°, γ = 90.00°
Space group C2/m (No. 12)
Symmetry-distinct sites (fractional):
K 0.0000 0.0000 0.0000 x2
K 0.1780 0.5000 0.3540 x4
K 0.1950 0.5000 0.8154 x4
U 0.0000 0.0000 0.5000 x2
Se 0.0000 0.5000 0.5000 x2
Se 0.1315 0.0000 0.3494 x4
Se 0.1399 0.0000 0.7897 x4

Computed properties:
**Formation energy (no corrections)**: -13.05 eV/f.u.
**Magnetic moment**: 2.00 μB per cell